Record 1
K3CeNd2S6 | the Alexandria database | PBE | relaxed; magnetic moment = 1.0 μB per formula unit; formation energy without anion corrections = -1.83 eV per atom
1.0
-6.707 -2.693 -0.927
5.576 -4.493 1.347
-0.875 3.016 7.110
S K Nd Ce
6 3 2 1
Cartesian
1.598 -1.367 1.949
-3.603 -2.802 5.581
-2.492 -0.768 1.191
0.487 -3.402 6.339
-1.013 -4.665 1.781
-0.992 0.495 5.749
3.088 -2.684 4.523
-1.003 -2.085 3.765
-5.094 -1.485 3.007
1.481 -3.893 0.589
-2.612 -3.293 -0.169
0.000 0.000 0.000

***

Record 2
Li2Ga2P | the Alexandria database | PBE | relaxed; magnetic moment = 0.0 μB per formula unit; E_form = -0.05 eV per atom
1.0
7.224 0.000 0.000
0.000 7.224 0.000
0.000 0.000 3.056
Ga Li P
4 4 2
Cartesian
6.275 4.560 0.000
0.949 2.663 0.000
4.560 0.949 0.000
2.663 6.275 0.000
2.382 1.230 1.528
1.230 4.842 1.528
5.993 2.382 1.528
4.842 5.993 1.528
3.612 3.612 0.000
0.000 0.000 0.000

***

Record 3
BaAlRu2 | the Alexandria database | PBE | relaxed; magnetic moment = 0.0 μB per formula unit; E_form = 0.22 eV per atom
1.0
-0.066 -2.879 -0.771
1.999 0.740 -2.933
6.398 -1.232 4.049
Al Ba Ru
1 1 2
Cartesian
2.673 -0.515 1.692
5.820 -2.004 1.220
0.566 -0.109 0.358
2.470 -1.359 -0.900

***

Record 4
VHIr2W | the Alexandria database | PBE | relaxed; magnetic moment = 0.0 μB per formula unit; E above lowest polymorph = 813 meV per atom
1.0
4.809 0.000 0.000
0.000 2.939 0.000
0.000 0.000 4.809
H Ir W V
1 2 1 1
Cartesian
0.000 1.470 0.000
0.000 0.000 2.404
2.404 0.000 0.000
2.404 1.470 2.404
0.000 0.000 0.000

***

Record 5
Ac2Zn3Ge4Au | the Alexandria database | PBE | relaxed; magnetic moment = 0.0 μB per formula unit; E_form = -0.49 eV per atom
1.0
-2.765 1.552 -3.308
2.101 -2.720 -3.031
-6.709 -7.508 2.087
Ge Zn Ac Au
4 3 2 1
Cartesian
-5.641 -3.990 -0.330
-1.401 -4.103 -0.753
-0.332 -0.584 -3.170
0.000 0.000 0.000
-3.354 -3.754 1.043
0.231 -2.276 -1.261
-7.272 -5.816 0.178
-3.987 -6.997 0.051
-3.054 -1.095 -1.134
-3.687 -4.338 -2.127

***

Record 6
SmGaBi | the Alexandria database | PBE | relaxed; magnetic moment = 0.0 μB per formula unit; E_form = -0.36 eV per atom; E above lowest polymorph = 161 meV per atom
1.0
3.851 0.000 0.000
0.000 3.851 0.000
-1.926 -1.926 5.385
Bi Sm Ga
1 1 1
Cartesian
1.926 1.926 5.067
0.000 0.000 2.991
1.926 1.926 1.097

***

Record 7
Te3RuI | the Alexandria database | PBE | relaxed; magnetic moment = 0.0 μB per formula unit; formation energy without anion corrections = 0.40 eV per atom; E above lowest polymorph = 0 meV per atom
1.0
-2.739 0.454 -4.483
-4.505 -0.379 2.714
-0.088 5.240 0.584
Te Ru I
3 1 1
Cartesian
-0.044 2.620 0.292
-1.369 0.227 -2.242
-2.253 -0.189 1.357
0.000 0.000 0.000
-3.666 2.657 -0.593

***

Record 8
MgMn2Ni9 | the Alexandria database | PBE | relaxed; magnetic moment = 10.1 μB per formula unit; E_form = -0.09 eV per atom
1.0
-1.671 -1.187 -2.944
2.760 -2.187 -0.685
-4.706 -7.755 5.797
Ni Mn Mg
9 2 1
Cartesian
-0.973 -4.971 2.556
-3.189 -4.471 1.427
-2.580 -6.835 2.034
0.544 -1.687 -1.815
-1.653 -1.940 -0.466
-1.038 -4.294 0.134
-2.509 -7.503 4.448
0.563 -2.440 0.664
-4.725 -7.002 3.319
-1.576 -2.597 1.941
-3.130 -5.159 3.856
0.000 0.000 0.000

***

Record 9
GdHoAg | the Alexandria database | PBE | relaxed; magnetic moment = 8.2 μB per formula unit; E_form = -0.19 eV per atom; E above lowest polymorph = 0 meV per atom
1.0
-1.383 -0.929 -3.211
3.078 -1.710 -0.831
-3.079 -3.900 4.492
Ho Ag Gd
1 1 1
Cartesian
-1.400 -3.274 1.550
0.080 -3.113 -1.171
-0.065 -0.151 0.071

***

Record 10
SbRu3Rh | the Alexandria database | PBE | relaxed; magnetic moment = 0.0 μB per formula unit; formation energy without anion corrections = 1.59 eV per atom; E above lowest polymorph = 0 meV per atom
1.0
-1.110 -4.228 -1.645
4.003 -1.710 1.693
-2.135 -1.007 4.030
Sb Rh Ru
1 1 3
Cartesian
0.379 -3.473 2.039
0.000 0.000 0.000
-1.068 -0.504 2.015
2.001 -0.855 0.847
-0.555 -2.114 -0.822

***

Record 11
Fe3Co | the Alexandria database | PBE | relaxed; magnetic moment = 9.4 μB per formula unit; E_form = -0.04 eV per atom
1.0
-0.796 4.344 1.708
-2.238 3.064 -2.832
-0.281 -4.195 2.177
Fe Co
3 1
Cartesian
-2.270 5.542 -0.841
-0.764 1.866 -0.283
-1.260 -0.566 -0.328
-0.539 0.074 1.942

***

Record 12
TaTcSeN2 | the Alexandria database | PBE | relaxed; magnetic moment = 1.6 μB per formula unit; formation energy without anion corrections = 0.93 eV per atom; E above lowest polymorph = 308 meV per atom
1.0
-0.126 1.287 -3.620
-1.812 -3.214 -1.080
-4.601 2.269 0.967
Tc N Ta Se
1 2 1 1
Cartesian
0.000 0.000 0.000
-0.906 -1.607 -0.540
-0.063 0.644 -1.810
-3.269 0.171 -1.866
-2.300 1.134 0.484

***

Record 13
ZnC3 | the Alexandria database | PBE | relaxed; magnetic moment = 0.0 μB per formula unit; E_form = 2.87 eV per atom; E above lowest polymorph = 2421 meV per atom
1.0
-1.347 -7.122 1.594
-0.869 -7.059 -2.121
2.943 6.795 0.495
C Zn
3 1
Cartesian
-1.108 -7.091 -0.264
0.483 -3.677 -0.945
0.244 -3.709 0.912
0.000 0.000 0.000

***

Record 14
PuH2I2 | the Alexandria database | PBE | relaxed; magnetic moment = 6.0 μB per formula unit; E above lowest polymorph = 0 meV per atom
1.0
-1.613 0.626 -7.988
-4.465 -4.475 -3.630
-6.575 4.969 -0.716
H I Pu
4 4 2
Cartesian
-5.552 4.168 -0.972
-2.637 1.427 -7.731
-2.296 1.220 -7.039
-5.892 4.375 -1.665
-3.269 -0.317 -1.863
-9.385 1.437 -10.470
-7.490 2.549 -6.585
-5.164 -1.429 -5.748
-2.950 -1.124 -7.855
-3.128 -2.726 -3.763

***

Record 15
Zr2TiSiH | the Alexandria database | PBE | relaxed; magnetic moment = 0.7 μB per formula unit; E = -7.194 eV/atom
1.0
4.380 0.000 0.000
0.000 4.380 0.000
0.000 0.000 3.972
H Zr Si Ti
1 2 1 1
Cartesian
0.000 0.000 0.000
2.190 0.000 0.000
0.000 2.190 0.000
2.190 2.190 1.986
0.000 0.000 1.986

***

Record 16
KSb2SI | the Alexandria database | PBE | relaxed; magnetic moment = 2.0 μB per formula unit; formation energy without anion corrections = 1.27 eV per atom; E above lowest polymorph = 1329 meV per atom
1.0
-0.909 -2.790 5.476
4.999 -3.556 -0.982
3.386 4.037 2.619
I Sb K S
1 2 1 1
Cartesian
1.693 2.018 1.309
2.499 -1.778 -0.491
-0.454 -1.395 2.738
0.000 0.000 0.000
3.738 -1.155 3.556

***

Record 17
HfVCo3 | the Alexandria database | PBE | relaxed; magnetic moment = 0.0 μB per formula unit; E_form = 0.52 eV per atom; E above lowest polymorph = 645 meV per atom
1.0
-0.280 -3.209 2.700
2.826 -2.144 -2.255
3.098 1.665 2.301
Co Hf V
3 1 1
Cartesian
1.549 0.832 1.150
-0.140 -1.604 1.350
1.413 -1.072 -1.127
2.822 -1.844 1.373
0.000 0.000 0.000

***

Record 18
Be3AsP | the Alexandria database | PBE | relaxed; magnetic moment = 0.0 μB per formula unit; E_form = -0.11 eV per atom; E above lowest polymorph = 0 meV per atom
1.0
-1.100 -2.220 -2.769
4.604 0.250 -2.029
1.766 -6.519 4.524
As Be P
2 6 2
Cartesian
0.360 -5.595 0.603
2.775 -3.010 0.064
4.400 -4.572 0.671
2.203 -4.636 1.594
3.843 -7.850 1.026
0.931 -3.969 -0.927
3.339 -3.783 -2.033
3.896 -0.505 -2.389
3.725 -6.077 2.145
-0.590 -2.528 -1.478

***

Record 19
RbCdPCl2 | the Alexandria database | PBE | relaxed; magnetic moment = 1.9 μB per formula unit; formation energy without anion corrections = 0.25 eV per atom; E above lowest polymorph = 868 meV per atom
1.0
6.126 0.000 0.000
0.000 6.126 0.000
0.000 0.000 6.553
Rb Cl P Cd
1 2 1 1
Cartesian
0.000 0.000 0.000
3.063 0.000 0.000
0.000 3.063 0.000
0.000 0.000 3.276
3.063 3.063 3.276

***

Record 20
Pr6Tm8Tl | the Alexandria database | PBE | relaxed; magnetic moment = 0.0 μB per formula unit; E_form = 0.08 eV per atom
1.0
-1.252 -1.379 -6.049
2.070 -9.129 1.653
-8.903 3.134 1.128
Pr Tm Tl
6 8 1
Cartesian
-3.157 -3.940 -3.023
-0.339 -6.493 -3.024
-4.224 0.175 -1.213
-4.927 -3.434 -0.245
-7.745 -0.881 -0.244
-3.861 -7.549 -2.054
-6.421 -5.418 -2.800
-4.827 -6.706 1.270
-6.268 -2.080 -3.638
-1.817 -5.294 0.370
-3.257 -0.668 -4.537
-1.663 -1.956 -0.468
1.014 -7.248 0.184
-9.099 -0.126 -3.452
-0.626 -0.690 -3.024